No. 1
Here is a relaxed structure of PaCu2PdO6 from Alexandria. Energies are from PBE.

## Properties
E_form (uncorrected): -1.434 eV per atom
M_tot: 0.108 μB/atom
VASP energy: -6.70 eV per atom

Cell and atoms, written as extended XYZ:
```
10
Lattice="-1.0492 -2.6999 -4.4996 3.8665 -2.8283 -2.3894 -0.3187 -5.8280 0.3866" Properties=species:S:1:pos:R:3 pbc="T T T"
Pa 2.1235 -7.7262 -5.4094
Cu 1.5123 -4.8404 -3.8132
Cu -0.0826 -5.0835 -0.1158
Pd 0.8744 -2.0481 -2.1582
O 0.1642 -3.8226 -2.9121
O 3.2863 -4.9308 -3.0971
O 1.0810 -5.7977 -5.4154
O 2.0103 -7.8220 -3.2222
O -0.7001 -6.8263 -3.0138
O 1.2654 -6.1014 -1.0178
```

No. 2
Here is a relaxed structure of CaSi2Os from Alexandria. Energies are from PBE.

## Properties
E_form (uncorrected): -0.165 eV per atom
M_tot: 0.000 μB/atom
VASP energy: -6.18 eV per atom

Cell and atoms, written as extended XYZ:
```
4
Lattice="-2.8617 -1.0018 0.9255 1.0561 -2.9889 0.0300 1.8614 0.7233 6.5387" Properties=species:S:1:pos:R:3 pbc="T T T"
Ca -0.2146 -1.7279 2.8954
Si 1.2596 0.4894 4.4245
Si 0.7562 -1.3508 6.3054
Os 0.0710 0.0276 0.2493
```

No. 3
Here is a relaxed structure of Mn2CoHPd from Alexandria. Energies are from PBE.

## Properties
Offset from the most stable computed form: 0.098 eV per atom
M_tot: 1.811 μB/atom
VASP energy: -6.73 eV per atom

Cell and atoms, written as extended XYZ:
```
5
Lattice="-2.3149 -1.3120 3.0799 1.4988 -3.7544 -0.4729 2.5717 0.7433 2.2496" Properties=species:S:1:pos:R:3 pbc="T T T"
H 0.0000 0.0000 0.0000
Mn 0.7494 -1.8772 -0.2364
Mn -1.1575 -0.6560 1.5399
Co 0.8778 -2.1616 2.4283
Pd 1.2858 0.3716 1.1248
```

No. 4
Here is a relaxed structure of UCuRuRh from Alexandria. Energies are from PBE.

## Properties
Offset from the most stable computed form: 0.000 eV per atom
Calculated formation energy: -0.41 eV per atom
M_tot: 0.002 μB/atom
VASP energy: -8.41 eV per atom

Cell and atoms, written as extended XYZ:
```
4
Lattice="3.6941 0.0000 0.0000 0.0000 4.0435 0.0000 0.0000 0.0000 4.2254" Properties=species:S:1:pos:R:3 pbc="T T T"
U 1.8471 2.0217 0.0000
Cu 1.8471 0.0000 2.1127
Ru 0.0000 0.0000 0.0000
Rh 0.0000 2.0217 2.1127
```

No. 5
Here is a relaxed structure of TcAsPt2 from Alexandria. Energies are from PBE.

## Properties
Calculated formation energy: 0.14 eV per atom
M_tot: 0.267 μB/atom
VASP energy: -6.64 eV per atom

Cell and atoms, written as extended XYZ:
```
4
Lattice="4.8301 0.0000 0.0000 0.0000 4.8301 0.0000 0.0000 0.0000 2.7661" Properties=species:S:1:pos:R:3 pbc="T T T"
As 0.0000 2.4151 1.3831
Tc 2.4151 0.0000 1.3831
Pt 0.0000 0.0000 0.0000
Pt 2.4151 2.4151 0.0000
```

No. 6
Here is a relaxed structure of Co3Br from Alexandria. Energies are from PBE.

## Properties
E_form (uncorrected): 0.798 eV per atom
Offset from the most stable computed form: 0.484 eV per atom
M_tot: 1.255 μB/atom
VASP energy: -4.95 eV per atom

Cell and atoms, written as extended XYZ:
```
4
Lattice="-3.2644 3.3277 -0.0893 -2.5939 -0.2141 -3.8683 1.2603 -3.1615 3.1867" Properties=species:S:1:pos:R:3 pbc="T T T"
Br 0.0000 0.0000 0.0000
Co -2.1314 -0.9094 -1.3303
Co -2.9291 1.5568 -1.9788
Co -2.4666 0.8615 0.5593
```